Entry from Alexandria via LeMat-Bulk: ThReH after structural relaxation (PBE-GGA).

Raw total energy ... -7.70 eV/atom
M_tot ... 0.00 Bohr magnetons per cell

a = 3.5877 Å, b = 3.5881 Å, c = 16.3612 Å
α = 90.00°, β = 90.00°, γ = 90.00°
Closest atoms and distances in Å follow each position.
Fractional coordinates of all 12 atoms:
Re 0.2500 0.2500 0.5000  4 Re 2.54
Re 0.2500 0.2500 0.0000  4 Re 2.54
Re 0.7500 0.7500 0.5000  4 Re 2.54
Re 0.7500 0.7500 0.0000  4 Re 2.54
Th 0.2495 0.7500 0.6639  5 H 2.41-2.57
Th 0.2505 0.7500 0.1639  5 H 2.41-2.57
Th 0.7505 0.2500 0.3361  5 H 2.41-2.57
Th 0.7495 0.2500 0.8361  5 H 2.41-2.57
H 0.2494 0.7500 0.8110  5 Th 2.41-2.57
H 0.2506 0.7500 0.3110  5 Th 2.41-2.57
H 0.7506 0.2500 0.1890  5 Th 2.41-2.57
H 0.7494 0.2500 0.6890  5 Th 2.41-2.57